The following is a DFT calculation (PBE-GGA) of a relaxed structure of SrAs2Ru. Values from VASP.

For the polymorph energy (0 for the lowest one), the calculation gives 398 meV/atom. The formation energy is -0.284 eV/atom.

Structure (Quantum ESPRESSO input):
```
&SYSTEM
  ibrav = 0, nat = 4, ntyp = 3
/
ATOMIC_SPECIES
As 74.92 As.upf
Sr 87.62 Sr.upf
Ru 101.07 Ru.upf
CELL_PARAMETERS angstrom
-1.5842 -4.5795 -1.3750
0.3627 -2.9933 -4.0349
4.2373 -3.3987 1.0747
ATOMIC_POSITIONS crystal
As 0.9770 0.9770 0.1134
Sr 0.7585 0.7585 0.7532
Ru 0.5284 0.5284 0.3625
As 0.2360 0.2360 0.2709
```



The following is a DFT calculation (PBE-GGA) of a relaxed structure of SrAs2Ru. Values from VASP.

For the polymorph energy (0 for the lowest one), the calculation gives 263 meV/atom. The formation energy is -0.419 eV/atom.

Structure (Quantum ESPRESSO input):
```
&SYSTEM
  ibrav = 0, nat = 8, ntyp = 3
/
ATOMIC_SPECIES
As 74.92 As.upf
Sr 87.62 Sr.upf
Ru 101.07 Ru.upf
CELL_PARAMETERS angstrom
7.3954 0.0000 0.0000
0.0000 7.3954 0.0000
3.6977 3.6977 3.6099
ATOMIC_POSITIONS crystal
As 0.3750 0.2863 0.7500
Sr 0.2500 0.7500 0.5000
Ru 0.0000 0.0000 0.0000
Sr 0.5000 0.5000 0.0000
As 0.8750 0.9637 0.7500
As 0.7137 0.1250 0.2500
As 0.0363 0.6250 0.2500
Ru 0.7500 0.2500 0.5000
```



The following is a DFT calculation (PBE-GGA) of a relaxed structure of Sr2AsRu. Values from VASP.

The formation energy is -0.243 eV/atom.

Structure (Quantum ESPRESSO input):
```
&SYSTEM
  ibrav = 0, nat = 8, ntyp = 3
/
ATOMIC_SPECIES
Ru 101.07 Ru.upf
Sr 87.62 Sr.upf
As 74.92 As.upf
CELL_PARAMETERS angstrom
-6.6910 1.9989 8.7863
6.0495 -7.1142 6.2254
1.0715 -0.7965 8.1655
ATOMIC_POSITIONS crystal
Ru 0.0000 0.0000 0.0000
Sr 0.9405 0.6250 0.2500
Ru 0.7500 0.2500 0.5000
As 0.2500 0.7500 0.5000
Sr 0.3750 0.1905 0.7500
Sr 0.8750 0.0595 0.7500
Sr 0.8095 0.1250 0.2500
As 0.5000 0.5000 0.0000
```



The following is a DFT calculation (PBE-GGA) of a relaxed structure of SrAsRu. Values from VASP.

The formation energy is -0.655 eV/atom.

Structure (Quantum ESPRESSO input):
```
&SYSTEM
  ibrav = 0, nat = 6, ntyp = 3
/
ATOMIC_SPECIES
Ru 101.07 Ru.upf
As 74.92 As.upf
Sr 87.62 Sr.upf
CELL_PARAMETERS angstrom
4.1924 0.0000 0.0000
0.0000 4.1924 0.0000
0.0000 0.0000 8.7262
ATOMIC_POSITIONS crystal
Ru 0.0000 0.0000 0.5000
As 0.5000 0.0000 0.6489
Ru 0.5000 0.5000 0.5000
Sr 0.5000 0.0000 0.1981
Sr 0.0000 0.5000 0.8019
As 0.0000 0.5000 0.3511
```



The following is a DFT calculation (PBE-GGA) of a relaxed structure of SrAs2Ru. Values from VASP.

For the polymorph energy (0 for the lowest one), the calculation gives 356 meV/atom. The formation energy is -0.327 eV/atom.

Structure (Quantum ESPRESSO input):
```
&SYSTEM
  ibrav = 0, nat = 4, ntyp = 3
/
ATOMIC_SPECIES
As 74.92 As.upf
Ru 101.07 Ru.upf
Sr 87.62 Sr.upf
CELL_PARAMETERS angstrom
-1.6368 1.8843 -3.3909
0.9213 -2.6702 -1.9285
-5.2845 -2.6150 1.0977
ATOMIC_POSITIONS crystal
As 0.0000 0.2503 0.0316
As 0.0000 0.2497 0.4684
Ru 0.5000 0.2500 0.2500
Sr 0.5000 0.7500 0.7500
```



The following is a DFT calculation (PBE-GGA) of a relaxed structure of Sr4As2Ru. Values from VASP.

The formation energy is -0.239 eV/atom.

Structure (Quantum ESPRESSO input):
```
&SYSTEM
  ibrav = 0, nat = 7, ntyp = 3
/
ATOMIC_SPECIES
Sr 87.62 Sr.upf
As 74.92 As.upf
Ru 101.07 Ru.upf
CELL_PARAMETERS angstrom
-2.3115 -1.3790 4.4448
4.6254 -0.1334 2.3640
0.3353 7.2613 5.4646
ATOMIC_POSITIONS crystal
Sr 0.1816 0.1816 0.6368
As 0.3673 0.3673 0.2654
Sr 0.5000 0.0000 0.0000
As 0.6327 0.6327 0.7346
Ru 0.0000 0.0000 0.0000
Sr 0.0000 0.5000 0.0000
Sr 0.8184 0.8184 0.3632
```



The following is a DFT calculation (PBE-GGA) of a relaxed structure of Sr2AsRu. Values from VASP.

The formation energy is -0.004 eV/atom.

Structure (Quantum ESPRESSO input):
```
&SYSTEM
  ibrav = 0, nat = 4, ntyp = 3
/
ATOMIC_SPECIES
Sr 87.62 Sr.upf
As 74.92 As.upf
Ru 101.07 Ru.upf
CELL_PARAMETERS angstrom
4.0843 0.0000 0.0000
0.0000 3.7331 -0.0003
0.0000 3.7213 6.5632
ATOMIC_POSITIONS crystal
Sr 0.0000 0.5026 0.4985
As 0.5000 0.2500 0.2500
Sr 0.0000 0.9974 0.0015
Ru 0.5000 0.7500 0.7500
```



The following is a DFT calculation (PBE-GGA) of a relaxed structure of SrAsRu. Values from VASP.

The formation energy is -0.474 eV/atom.

Structure (Quantum ESPRESSO input):
```
&SYSTEM
  ibrav = 0, nat = 3, ntyp = 3
/
ATOMIC_SPECIES
Sr 87.62 Sr.upf
As 74.92 As.upf
Ru 101.07 Ru.upf
CELL_PARAMETERS angstrom
-2.7672 -3.0643 0.6256
1.7033 0.5366 -3.7748
3.5166 -2.9369 1.1693
ATOMIC_POSITIONS crystal
Sr 0.3333 0.6667 0.6667
As 0.0000 0.0000 0.1665
Ru 0.6667 0.3333 0.1667
```



The following is a DFT calculation (PBE-GGA) of a relaxed structure of SrAs2Ru. Values from VASP.

For the polymorph energy (0 for the lowest one), the calculation gives 572 meV/atom. The formation energy is -0.111 eV/atom.

Structure (Quantum ESPRESSO input):
```
&SYSTEM
  ibrav = 0, nat = 4, ntyp = 3
/
ATOMIC_SPECIES
As 74.92 As.upf
Sr 87.62 Sr.upf
Ru 101.07 Ru.upf
CELL_PARAMETERS angstrom
3.4225 0.0000 0.0000
0.0000 3.4225 0.0000
0.0000 0.0000 7.0747
ATOMIC_POSITIONS crystal
As 0.5000 0.5000 0.2855
As 0.0000 0.0000 0.0495
Sr 0.5000 0.5000 0.7522
Ru 0.0000 0.0000 0.4128
```



The following is a DFT calculation (PBE-GGA) of a relaxed structure of SrAsRu3. Values from VASP.

For the polymorph energy (0 for the lowest one), the calculation gives 2174 meV/atom. The formation energy is 2.613 eV/atom.

Structure (Quantum ESPRESSO input):
```
&SYSTEM
  ibrav = 0, nat = 5, ntyp = 3
/
ATOMIC_SPECIES
Ru 101.07 Ru.upf
Sr 87.62 Sr.upf
As 74.92 As.upf
CELL_PARAMETERS angstrom
4.9057 0.0000 0.0000
0.0000 4.9057 0.0000
0.0000 0.0000 4.9057
ATOMIC_POSITIONS crystal
Ru 0.5000 0.0000 0.0000
Sr 0.0000 0.0000 0.0000
As 0.5000 0.5000 0.5000
Ru 0.0000 0.5000 0.0000
Ru 0.0000 0.0000 0.5000
```



The following is a DFT calculation (PBE-GGA) of a relaxed structure of SrAsRu. Values from VASP.

The formation energy is 1.000 eV/atom.

Structure (Quantum ESPRESSO input):
```
&SYSTEM
  ibrav = 0, nat = 3, ntyp = 3
/
ATOMIC_SPECIES
As 74.92 As.upf
Sr 87.62 Sr.upf
Ru 101.07 Ru.upf
CELL_PARAMETERS angstrom
-2.7194 -4.0087 -0.3329
-0.1481 -2.4943 -4.1632
2.1235 -4.3564 -0.2969
ATOMIC_POSITIONS crystal
As 0.0000 0.0000 0.0000
Sr 0.2500 0.2500 0.2500
Ru 0.5000 0.5000 0.5000
```



The following is a DFT calculation (PBE-GGA) of a relaxed structure of SrAs2Ru. Values from VASP.

For the polymorph energy (0 for the lowest one), the calculation gives 377 meV/atom. The formation energy is -0.306 eV/atom.

Structure (Quantum ESPRESSO input):
```
&SYSTEM
  ibrav = 0, nat = 4, ntyp = 3
/
ATOMIC_SPECIES
As 74.92 As.upf
Sr 87.62 Sr.upf
Ru 101.07 Ru.upf
CELL_PARAMETERS angstrom
7.3755 0.0256 0.0070
5.6633 4.7249 -0.0070
-6.5493 -2.2932 2.4993
ATOMIC_POSITIONS crystal
As 0.9823 0.9823 0.0000
Sr 0.2992 0.7992 0.5000
Ru 0.5503 0.5503 0.0000
As 0.6682 0.1682 0.5000
```



The following is a DFT calculation (PBE-GGA) of a relaxed structure of SrTaAs2Ru. Values from VASP.

The formation energy is -0.617 eV/atom.

Structure (Quantum ESPRESSO input):
```
&SYSTEM
  ibrav = 0, nat = 5, ntyp = 4
/
ATOMIC_SPECIES
As 74.92 As.upf
Ru 101.07 Ru.upf
Ta 180.95 Ta.upf
Sr 87.62 Sr.upf
CELL_PARAMETERS angstrom
3.9867 0.0000 0.0000
0.0000 3.9867 0.0000
-1.9933 -1.9933 6.7312
ATOMIC_POSITIONS crystal
As 0.3724 0.3724 0.7449
Ru 0.2500 0.7500 0.5000
Ta 0.7500 0.2500 0.5000
Sr 0.0000 0.0000 0.0000
As 0.6276 0.6276 0.2551
```



The following is a DFT calculation (PBE-GGA) of a relaxed structure of Sr2TiAsRu. Values from VASP.

The formation energy is 0.515 eV/atom.

Structure (Quantum ESPRESSO input):
```
&SYSTEM
  ibrav = 0, nat = 5, ntyp = 4
/
ATOMIC_SPECIES
As 74.92 As.upf
Ru 101.07 Ru.upf
Sr 87.62 Sr.upf
Ti 47.87 Ti.upf
CELL_PARAMETERS angstrom
6.0525 0.0000 0.0000
0.0000 4.3154 0.0000
0.0000 0.0000 6.0525
ATOMIC_POSITIONS crystal
As 0.5000 0.5000 0.5000
Ru 0.0000 0.5000 0.0000
Sr 0.0000 0.0000 0.5000
Ti 0.0000 0.0000 0.0000
Sr 0.5000 0.0000 0.0000
```



The following is a DFT calculation (PBE-GGA) of a relaxed structure of SrZn2AsRu. Values from VASP.

The formation energy is 0.213 eV/atom.

Structure (Quantum ESPRESSO input):
```
&SYSTEM
  ibrav = 0, nat = 5, ntyp = 4
/
ATOMIC_SPECIES
As 74.92 As.upf
Zn 65.41 Zn.upf
Sr 87.62 Sr.upf
Ru 101.07 Ru.upf
CELL_PARAMETERS angstrom
4.9677 0.0000 0.0000
0.0000 4.6888 0.0000
0.0000 0.0000 4.9677
ATOMIC_POSITIONS crystal
As 0.0000 0.0000 0.0000
Zn 0.5000 0.0000 0.0000
Sr 0.5000 0.5000 0.5000
Zn 0.0000 0.0000 0.5000
Ru 0.0000 0.5000 0.0000
```